No. 1
Crystalline HPdW3 at its relaxed geometry, computed with PBE-GGA.

The magnetization is 0.00 μB per formula unit. Its energy above the lowest structure with this stoichiometry is 14.61 eV/f.u.

```
HPdW3
1.0
4.7543 0.0000 0.0000
0.0000 4.7543 0.0000
0.0000 0.0000 4.7543
W Pd H
3 1 1
Cartesian
0.0000 0.0000 2.3771
2.3771 0.0000 0.0000
0.0000 2.3771 0.0000
0.0000 0.0000 0.0000
2.3771 2.3771 2.3771
```

=====

No. 2
Crystalline PmGa2Ag4 at its relaxed geometry, computed with PBE-GGA.

The magnetization is 0.00 μB per formula unit. The energy of formation comes out at -0.218 eV/atom. Its energy above the lowest structure with this stoichiometry is 0.19 eV/f.u.

```
PmGa2Ag4
1.0
4.5960 0.0000 0.0000
2.2980 3.9802 0.0000
2.2980 1.3267 7.5770
Pm Ga Ag
1 2 4
Cartesian
0.0000 0.0000 0.0000
2.2980 1.3267 1.6060
6.8939 3.9802 5.9710
4.5960 2.6535 2.1529
2.2980 1.3267 4.3365
6.8939 3.9802 3.2405
4.5960 2.6535 5.4241
```

=====

No. 3
Crystalline LiHoGa2 at its relaxed geometry, computed with PBE-GGA.

The magnetization is 0.00 μB per formula unit. The energy of formation comes out at -0.459 eV/atom. Its energy above the lowest structure with this stoichiometry is 0.06 eV/f.u.

```
LiHoGa2
1.0
-4.2129 -1.1493 1.9933
-2.6786 -3.5011 -1.8999
-0.4976 -4.1709 2.3235
Ho Ga Li
1 2 1
Cartesian
0.0000 0.0000 0.0000
-1.8473 -2.2053 0.6042
-5.5418 -6.6160 1.8127
-3.6945 -4.4107 1.2085
```

=====

No. 4
Crystalline KSrGaO3 at its relaxed geometry, computed with PBE-GGA.

The magnetization is 0.00 μB per formula unit. The calculation puts the uncorrected formation energy at -1.9327 eV/atom.

```
KSrGaO3
1.0
-0.6353 -3.3237 2.2303
-3.0978 -1.0871 -6.1847
7.1583 -2.0562 -1.0251
Ga O K Sr
2 6 2 2
Cartesian
1.5220 -5.8715 -4.6343
1.9032 -0.5955 -0.3453
1.6941 -2.2873 0.7561
1.9616 -4.9196 -3.0905
1.4636 -1.5474 -1.8891
-1.3095 -4.0846 -2.7779
4.7346 -2.3824 -2.2016
1.7311 -4.1797 -5.7357
4.2823 -3.8284 -4.4854
-0.8571 -2.6386 -0.4941
2.8053 -3.7084 -1.0452
0.6199 -2.7586 -3.9344
```

=====

No. 5
Crystalline Sm12GaSi5 at its relaxed geometry, computed with PBE-GGA.

The magnetization is 0.00 μB per formula unit. The calculation puts the uncorrected formation energy at -0.5083 eV/atom.

```
Sm12GaSi5
1.0
8.0218 -0.0059 -3.1143
-4.1600 7.1096 -2.4890
-0.0550 0.0059 8.6049
Si Sm Ga
5 12 1
Cartesian
0.0000 0.0000 0.0000
0.3093 6.2893 -0.4488
2.4187 4.4491 -3.5094
1.4431 2.6546 -2.0939
3.4975 0.8203 3.4504
-2.4362 6.8039 3.5349
0.9657 2.3012 3.5829
4.0597 3.9913 2.6345
-0.5230 4.8143 5.7430
6.2430 0.3057 -0.5333
-2.7190 5.8401 -0.0190
4.3298 2.2953 -2.7414
0.9856 5.8401 2.5342
2.8411 4.8084 -0.5813
-0.2530 3.1183 0.3671
6.5258 1.2695 3.0206
2.8212 1.2695 0.4674
-2.1075 3.5577 3.0579
```

=====

No. 6
Crystalline Nd3CdSb2 at its relaxed geometry, computed with PBE-GGA.

The magnetization is 0.00 μB per formula unit. The calculation puts the uncorrected formation energy at -0.7833 eV/atom.

```
Nd3CdSb2
1.0
6.3656 0.0000 0.0000
0.0000 9.0321 0.0028
-3.1828 -2.2592 6.8421
Nd Sb Cd
6 4 2
Cartesian
3.1774 6.7741 0.0021
3.1837 2.2575 4.3800
-0.0009 4.5154 2.4648
3.1819 6.7736 4.3814
0.0009 -0.0007 2.4634
3.1882 2.2580 0.0007
0.0010 2.2557 4.6134
-0.0010 6.7718 4.6148
3.1818 4.5172 2.2314
3.1838 0.0011 2.2300
0.0063 2.2580 0.0007
6.3593 6.7741 0.0021
```

=====

No. 7
Crystalline ZrBeCu3 at its relaxed geometry, computed with PBE-GGA.

The magnetization is 0.00 μB per formula unit. The energy of formation comes out at 1.706 eV/atom. Its energy above the lowest structure with this stoichiometry is 7.98 eV/f.u.

```
ZrBeCu3
1.0
-0.4881 -0.0913 -4.8478
3.4297 -3.4505 -0.2803
-3.4273 -3.4399 0.4099
Zr Be Cu
1 1 3
Cartesian
0.0000 0.0000 0.0000
-0.2428 -3.4909 -2.3591
-0.2440 -0.0457 -2.4239
1.7149 -1.7253 -0.1401
-1.7137 -1.7200 0.2049
```

=====

No. 8
Crystalline Gd2PaZn at its relaxed geometry, computed with PBE-GGA.

The magnetization is 14.55 μB per formula unit. The energy of formation comes out at 0.299 eV/atom. Its energy above the lowest structure with this stoichiometry is 1.40 eV/f.u.

```
Gd2PaZn
1.0
3.3711 0.0000 0.0000
1.6856 2.9195 0.0000
1.6856 0.9732 11.5486
Gd Zn Pa
2 1 1
Cartesian
5.0567 2.9195 3.0541
1.6856 0.9732 8.4945
0.0000 0.0000 0.0000
3.3711 1.9463 5.7743
```

=====

No. 9
Crystalline Rb4Pm3PrTe8 at its relaxed geometry, computed with PBE-GGA.

The magnetization is 0.00 μB per formula unit. The calculation puts the uncorrected formation energy at -1.4080 eV/atom.

```
Rb4Pm3PrTe8
1.0
-7.2576 5.7496 0.5451
-5.8414 -7.6632 3.0569
7.6689 1.7326 4.9195
Rb Te Pm Pr
4 8 3 1
Cartesian
-3.6288 2.8748 0.2726
3.8344 0.8663 2.4597
0.0000 0.0000 0.0000
0.2056 3.7411 2.7323
-3.4273 -0.6667 1.2035
-2.2066 -3.2224 4.6098
1.5939 -2.3637 7.0478
-3.2235 3.0414 3.9117
0.4128 0.1737 3.6635
-7.0241 2.1827 1.4736
-2.0028 0.4857 7.3180
-5.8429 -0.3547 4.8580
-6.5495 -0.9568 1.8010
-2.7151 -0.0905 4.2607
0.9137 -2.9653 3.9882
-2.9207 -3.8316 1.5285
```

=====

No. 10
Crystalline Dy4ThSc2 at its relaxed geometry, computed with PBE-GGA.

The magnetization is 0.00 μB per formula unit. The energy of formation comes out at 0.128 eV/atom. Its energy above the lowest structure with this stoichiometry is 0.00 eV/f.u.

```
Dy4ThSc2
1.0
-0.9392 -4.5950 -2.8878
0.3460 -4.9166 2.4582
-7.8479 -2.7775 1.7195
Dy Sc Th
4 2 1
Cartesian
-2.4718 -6.2344 0.2192
-1.6245 -3.0972 0.2042
-5.9693 -6.0547 1.0707
-6.8166 -9.1919 1.0857
-3.7486 -9.3495 0.3387
-4.6925 -2.9396 0.9512
0.0000 0.0000 0.0000
```

=====

No. 11
Crystalline CsRe2C2 at its relaxed geometry, computed with PBE-GGA.

The magnetization is 0.00 μB per formula unit. The energy of formation comes out at 1.892 eV/atom. Its energy above the lowest structure with this stoichiometry is 5.74 eV/f.u.

```
CsRe2C2
1.0
7.8407 0.0000 0.0000
0.0000 7.8407 0.0000
0.0000 0.0000 2.8662
Re C Cs
4 4 2
Cartesian
4.7644 0.8441 0.0000
0.8441 3.0763 0.0000
3.0763 6.9966 0.0000
6.9966 4.7644 0.0000
3.0979 0.8225 1.4331
4.7428 7.0182 1.4331
7.0182 3.0979 1.4331
0.8225 4.7428 1.4331
0.0000 0.0000 0.0000
3.9203 3.9203 0.0000
```

=====

No. 12
Crystalline Nd2Fe15Si2H2 at its relaxed geometry, computed with PBE-GGA.

The magnetization is 29.36 μB per formula unit.

```
Nd2Fe15Si2H2
1.0
4.2597 4.8097 -0.0065
-4.2597 4.8097 -0.0065
0.0000 1.1285 6.3248
Fe Nd Si H
15 2 2 2
Cartesian
0.0000 0.5642 3.1624
0.0000 6.5652 0.9595
3.0489 6.9371 4.5583
0.0000 4.1827 5.3524
1.6994 4.8097 -0.0065
-3.0489 3.8107 1.7536
2.1298 2.4048 -0.0032
2.1614 6.1106 2.1410
-1.6994 4.8097 -0.0065
2.1614 4.6372 4.1709
-3.0489 6.9371 4.5583
-2.1298 2.4048 -0.0032
-2.1614 6.1106 2.1410
3.0489 3.8107 1.7536
-2.1614 4.6372 4.1709
0.0000 3.7314 2.2074
0.0000 7.0164 4.1045
0.0000 1.0867 0.6486
0.0000 9.6611 5.6633
-2.1298 2.9691 3.1592
2.1298 2.9691 3.1592
```

=====

Number 1: theoretical density 10.18 g/cm3, total DFT energy (no corrections) -6.384 eV/atom. Number 2: theoretical density 8.58 g/cm3, total DFT energy (no corrections) -3.391 eV/atom. Number 3: theoretical density 6.61 g/cm3, total DFT energy (no corrections) -3.596 eV/atom. Number 4: theoretical density 4.13 g/cm3, total DFT energy (no corrections) -5.379 eV/atom. Number 5: theoretical density 6.83 g/cm3, total DFT energy (no corrections) -5.329 eV/atom. Number 6: theoretical density 6.66 g/cm3, total DFT energy (no corrections) -4.694 eV/atom. Number 7: theoretical density 4.17 g/cm3, total DFT energy (no corrections) -3.207 eV/atom. Number 8: theoretical density 8.93 g/cm3, total DFT energy (no corrections) -9.434 eV/atom. Number 9: theoretical density 5.04 g/cm3, total DFT energy (no corrections) -4.410 eV/atom. Number 10: theoretical density 7.79 g/cm3, total DFT energy (no corrections) -5.371 eV/atom. Number 11: theoretical density 9.98 g/cm3, total DFT energy (no corrections) -6.948 eV/atom. Number 12: theoretical density 7.59 g/cm3, total DFT energy (no corrections) -7.412 eV/atom.